Arrangement w

This record from Alexandria via LeMat-Bulk describes a crystal of Mg2ZrAu relaxed with PBEsol. The functional is meta-GGA SCAN.

a = 4.301 Å, b = 4.301 Å, c = 5.194 Å
α = 114.46°, β = 114.46°, γ = 90.00°
Last column: magnetic moment on the atom in μB.
Fractional positions:
Au (0.000, 0.000, 0.000)  0.06
Mg (0.750, 0.250, 0.500)  0.03
Mg (0.250, 0.750, 0.500)  0.03
Zr (0.500, 0.500, 0.000)  0.79

Results
Space group: I4/mmm
DOS(E_F) (states/eV/f.u.): 2.67

***

Arrangement x

This record from Alexandria via LeMat-Bulk describes a crystal of Mg2ZrAu relaxed with PBEsol. The functional is meta-GGA SCAN.

a = 3.923 Å, b = 4.344 Å, c = 4.549 Å
α = 90.00°, β = 90.00°, γ = 90.00°
Fractional positions:
Au (0.000, 0.500, 0.500)
Mg (0.000, 0.000, 0.000)
Mg (0.500, 0.500, 0.000)
Zr (0.500, 0.000, 0.500)

Results
Space group: Pmmm
DOS(E_F) (states/eV/f.u.): 2.25

***

Arrangement y

This record from Alexandria via LeMat-Bulk describes a crystal of Mg2ZrAu relaxed with PBEsol. The functional is meta-GGA SCAN.

a = 2.993 Å, b = 4.507 Å, c = 6.054 Å
α = 90.00°, β = 104.34°, γ = 90.00°
Fractional positions:
Au (0.679, 0.500, 0.733)
Mg (0.815, 0.000, 0.006)
Mg (0.426, 0.500, 0.229)
Zr (0.079, 0.000, 0.532)

Results
Space group: Amm2
DOS(E_F) (states/eV/f.u.): 2.35

***

Which of them is most stable? Easy: arrangement x.

***

Arrangement w

This record from Alexandria via LeMat-Bulk describes a crystal of MnAuN2 relaxed with PBEsol. The functional is meta-GGA SCAN.

a = 3.164 Å, b = 3.164 Å, c = 6.102 Å
α = 74.97°, β = 74.97°, γ = 60.00°
Last column: magnetic moment on the atom in μB.
Fractional positions:
Mn (0.000, 0.000, 0.000)  3.86
Au (0.500, 0.500, 0.500)  0.06
N (0.893, 0.893, 0.320)  -0.01
N (0.107, 0.107, 0.680)  -0.01

Results
Space group: R-3m
DOS(E_F) (states/eV/f.u.): 1.80

***

Arrangement x

This record from Alexandria via LeMat-Bulk describes a crystal of MnAuN2 relaxed with PBEsol. The functional is meta-GGA SCAN.

a = 3.875 Å, b = 3.875 Å, c = 3.875 Å
α = 60.00°, β = 60.00°, γ = 60.00°
Last column: magnetic moment on the atom in μB.
Fractional positions:
Mn (0.000, 0.000, 0.000)  3.96
Au (0.500, 0.500, 0.500)  -0.20
N (0.250, 0.250, 0.250)  -0.52
N (0.750, 0.750, 0.750)  -0.52

Results
Space group: Fm-3m
DOS(E_F) (states/eV/f.u.): 2.95

***

Which of them is most stable? Easy: arrangement w.

***

Arrangement w

This record from Alexandria via LeMat-Bulk describes a crystal of MnAuSe2N relaxed with PBEsol. The functional is meta-GGA SCAN.

a = 3.700 Å, b = 5.204 Å, c = 5.204 Å
α = 90.00°, β = 90.00°, γ = 90.00°
Last column: magnetic moment on the atom in μB.
Fractional positions:
Mn (0.500, 0.500, 0.500)  4.60
Au (0.000, 0.000, 0.000)  0.13
Se (0.000, 0.000, 0.500)  0.03
Se (0.000, 0.500, 0.000)  0.03
N (0.500, 0.000, 0.000)  0.89

Results
Space group: P4/mmm
DOS(E_F) (states/eV/f.u.): 1.96

***

Arrangement x

This record from Alexandria via LeMat-Bulk describes a crystal of MnAuSe2N relaxed with PBEsol. The functional is meta-GGA SCAN.

a = 3.392 Å, b = 4.844 Å, c = 4.844 Å
α = 90.00°, β = 90.00°, γ = 90.00°
Last column: magnetic moment on the atom in μB.
Fractional positions:
Mn (0.000, 0.000, 0.000)  2.29
Au (0.500, 0.500, 0.500)  -0.04
Se (0.000, 0.000, 0.500)  -0.13
Se (0.000, 0.500, 0.000)  -0.13
N (0.500, 0.000, 0.000)  -0.44

Results
Space group: P4/mmm
DOS(E_F) (states/eV/f.u.): 2.69

***

Which of them is most stable? Easy: arrangement x.

***

Arrangement w

This record from Alexandria via LeMat-Bulk describes a crystal of MnP2Au relaxed with PBEsol. The functional is meta-GGA SCAN.

a = 2.738 Å, b = 2.802 Å, c = 7.639 Å
α = 90.00°, β = 100.32°, γ = 90.00°
Fractional positions:
Au (0.438, 0.000, 0.877)
Mn (0.700, 0.500, 0.399)
P (0.083, 0.500, 0.166)
P (0.279, 0.000, 0.558)

Results
Space group: Amm2
DOS(E_F) (states/eV/f.u.): 2.61

***

Arrangement x

This record from Alexandria via LeMat-Bulk describes a crystal of MnP2Au relaxed with PBEsol. The functional is meta-GGA SCAN.

a = 4.021 Å, b = 3.687 Å, c = 4.183 Å
α = 89.67°, β = 90.00°, γ = 90.00°
Last column: magnetic moment on the atom in μB.
Fractional positions:
Au (0.500, 0.000, 0.500)  0.03
Mn (0.500, 0.500, 0.000)  3.34
P (0.000, 0.230, 0.168)  -0.03
P (0.000, 0.770, 0.832)  -0.03

Results
Space group: P2/m
DOS(E_F) (states/eV/f.u.): 1.61

***

Which of them is most stable? Easy: arrangement x.

***

Arrangement w

This record from Alexandria via LeMat-Bulk describes a crystal of MnP2Au relaxed with PBEsol. The functional is meta-GGA SCAN.

a = 2.768 Å, b = 2.768 Å, c = 7.375 Å
α = 90.00°, β = 90.00°, γ = 90.00°
Last column: magnetic moment on the atom in μB.
Fractional positions:
Au (0.000, 0.000, 0.520)  0.07
Mn (0.500, 0.500, 0.789)  2.92
P (0.000, 0.000, 0.949)  -0.17
P (0.500, 0.500, 0.243)  -0.02

Results
Space group: P4mm
DOS(E_F) (states/eV/f.u.): 2.59

***

Arrangement x

This record from Alexandria via LeMat-Bulk describes a crystal of MnP2Au relaxed with PBEsol. The functional is meta-GGA SCAN.

a = 2.840 Å, b = 4.544 Å, c = 4.544 Å
α = 90.00°, β = 90.00°, γ = 90.00°
Last column: magnetic moment on the atom in μB.
Fractional positions:
Au (0.500, 0.500, 0.500)  -0.01
Mn (0.500, 0.000, 0.000)  3.83
P (0.000, 0.000, 0.500)  -0.02
P (0.000, 0.500, 0.000)  -0.02

Results
Space group: P4/mmm
DOS(E_F) (states/eV/f.u.): 1.41

***

Which of them is most stable? Easy: arrangement x.

***

Arrangement w

This record from Alexandria via LeMat-Bulk describes a crystal of MnPb2Au relaxed with PBEsol. The functional is meta-GGA SCAN.

a = 3.303 Å, b = 5.072 Å, c = 6.067 Å
α = 114.71°, β = 105.79°, γ = 90.00°
Last column: magnetic moment on the atom in μB.
Fractional positions:
Au (0.531, 0.531, 0.062)  0.02
Mn (0.228, 0.728, 0.456)  4.16
Pb (0.976, 0.976, 0.951)  -0.03
Pb (0.765, 0.265, 0.530)  -0.04

Results
Space group: Imm2
DOS(E_F) (states/eV/f.u.): 1.56

***

Arrangement x

This record from Alexandria via LeMat-Bulk describes a crystal of MnPb2Au relaxed with PBEsol. The functional is meta-GGA SCAN.

a = 3.491 Å, b = 4.751 Å, c = 5.824 Å
α = 113.26°, β = 90.00°, γ = 90.00°
Last column: magnetic moment on the atom in μB.
Fractional positions:
Au (0.500, 0.500, 0.000)  0.00
Mn (0.000, 0.500, 0.500)  4.16
Pb (0.000, 0.000, 0.000)  -0.02
Pb (0.500, 0.000, 0.500)  -0.05

Results
Space group: P2/m
DOS(E_F) (states/eV/f.u.): 1.45

***

Arrangement y

This record from Alexandria via LeMat-Bulk describes a crystal of MnPb2Au relaxed with PBEsol. The functional is meta-GGA SCAN.

a = 3.530 Å, b = 3.671 Å, c = 6.698 Å
α = 90.00°, β = 90.00°, γ = 90.00°
Last column: magnetic moment on the atom in μB.
Fractional positions:
Au (0.500, 0.500, 0.000)  -0.03
Mn (0.500, 0.500, 0.500)  4.17
Pb (0.000, 0.000, 0.747)  -0.03
Pb (0.000, 0.000, 0.253)  -0.03

Results
Space group: Pmmm
DOS(E_F) (states/eV/f.u.): 2.19

***

Which of them is most stable? Easy: arrangement w.

***

Arrangement w

This record from Alexandria via LeMat-Bulk describes a crystal of MnReAu2 relaxed with PBEsol. The functional is meta-GGA SCAN.

a = 2.797 Å, b = 2.797 Å, c = 9.218 Å
α = 81.27°, β = 81.27°, γ = 60.00°
Last column: magnetic moment on the atom in μB.
Fractional positions:
Au (0.248, 0.248, 0.256)  0.05
Au (0.752, 0.752, 0.744)  0.05
Mn (0.500, 0.500, 0.500)  3.96
Re (0.000, 0.000, 0.000)  0.00

Results
Space group: R-3m
DOS(E_F) (states/eV/f.u.): 2.89

***

Arrangement x

This record from Alexandria via LeMat-Bulk describes a crystal of MnReAu2 relaxed with PBEsol. The functional is meta-GGA SCAN.

a = 2.761 Å, b = 3.715 Å, c = 5.906 Å
α = 90.00°, β = 92.14°, γ = 90.00°
Last column: magnetic moment on the atom in μB.
Fractional positions:
Au (0.991, 0.000, 0.989)  -0.02
Au (0.511, 0.500, 0.264)  0.01
Mn (0.042, 0.000, 0.524)  3.18
Re (0.456, 0.500, 0.722)  -0.69

Results
Space group: Pm
DOS(E_F) (states/eV/f.u.): 2.42

***

Which of them is most stable? Easy: arrangement x.

***

Arrangement w

This record from Alexandria via LeMat-Bulk describes a crystal of MnRe2Au relaxed with PBEsol. The functional is meta-GGA SCAN.

a = 2.692 Å, b = 2.692 Å, c = 7.748 Å
α = 90.00°, β = 90.00°, γ = 90.00°
Fractional positions:
Au (0.500, 0.500, 0.000)
Mn (0.500, 0.500, 0.500)
Re (0.000, 0.000, 0.719)
Re (0.000, 0.000, 0.281)

Results
Space group: P4/mmm
DOS(E_F) (states/eV/f.u.): 3.81

***

Arrangement x

This record from Alexandria via LeMat-Bulk describes a crystal of MnRe2Au relaxed with PBEsol. The functional is meta-GGA SCAN.

a = 4.338 Å, b = 4.338 Å, c = 4.338 Å
α = 60.00°, β = 60.00°, γ = 60.00°
Last column: magnetic moment on the atom in μB.
Fractional positions:
Au (0.000, 0.000, 0.000)  0.08
Mn (0.500, 0.500, 0.500)  3.02
Re (0.750, 0.750, 0.750)  -0.19
Re (0.250, 0.250, 0.250)  -0.19

Results
Space group: Fm-3m
DOS(E_F) (states/eV/f.u.): 3.94

***

Which of them is most stable? Easy: arrangement w.

***

Arrangement w

This record from Alexandria via LeMat-Bulk describes a crystal of Mn2ReAu relaxed with PBEsol. The functional is meta-GGA SCAN.

a = 2.697 Å, b = 2.697 Å, c = 7.456 Å
α = 90.00°, β = 90.00°, γ = 90.00°
Last column: magnetic moment on the atom in μB.
Fractional positions:
Au (0.500, 0.500, 0.241)  0.07
Mn (0.000, 0.000, 0.968)  3.60
Mn (0.500, 0.500, 0.755)  -1.29
Re (0.000, 0.000, 0.535)  0.33

Results
Space group: P4mm
DOS(E_F) (states/eV/f.u.): 2.50

***

Arrangement x

This record from Alexandria via LeMat-Bulk describes a crystal of Mn2ReAu relaxed with PBEsol. The functional is meta-GGA SCAN.

a = 4.291 Å, b = 4.291 Å, c = 4.291 Å
α = 60.00°, β = 60.00°, γ = 60.00°
Last column: magnetic moment on the atom in μB.
Fractional positions:
Au (0.000, 0.000, 0.000)  0.07
Mn (0.250, 0.250, 0.250)  3.52
Mn (0.750, 0.750, 0.750)  3.52
Re (0.500, 0.500, 0.500)  -0.78

Results
Space group: Fm-3m
DOS(E_F) (states/eV/f.u.): 2.19

***

Which of them is most stable? Easy: arrangement x.

***

Arrangement w

This record from Alexandria via LeMat-Bulk describes a crystal of MnTc2Au relaxed with PBEsol. The functional is meta-GGA SCAN.

a = 2.910 Å, b = 4.282 Å, c = 5.273 Å
α = 113.96°, β = 106.02°, γ = 90.00°
Last column: magnetic moment on the atom in μB.
Fractional positions:
Au (0.500, 0.000, 0.000)  0.05
Mn (0.000, 0.500, 0.000)  3.10
Tc (0.718, 0.718, 0.437)  -0.33
Tc (0.282, 0.282, 0.563)  -0.33

Results
Space group: Immm
DOS(E_F) (states/eV/f.u.): 3.79

***

Arrangement x

This record from Alexandria via LeMat-Bulk describes a crystal of MnTc2Au relaxed with PBEsol. The functional is meta-GGA SCAN.

a = 4.325 Å, b = 4.325 Å, c = 4.325 Å
α = 60.00°, β = 60.00°, γ = 60.00°
Last column: magnetic moment on the atom in μB.
Fractional positions:
Au (0.000, 0.000, 0.000)  0.06
Mn (0.500, 0.500, 0.500)  3.37
Tc (0.250, 0.250, 0.250)  -0.32
Tc (0.750, 0.750, 0.750)  -0.32

Results
Space group: Fm-3m
DOS(E_F) (states/eV/f.u.): 4.68

***

Which of them is most stable? Easy: arrangement w.

***

Arrangement w

This record from Alexandria via LeMat-Bulk describes a crystal of YMn2Au relaxed with PBEsol. The functional is meta-GGA SCAN.

a = 4.677 Å, b = 4.677 Å, c = 4.677 Å
α = 60.00°, β = 60.00°, γ = 60.00°
Last column: magnetic moment on the atom in μB.
Fractional positions:
Au (0.500, 0.500, 0.500)  0.07
Mn (0.000, 0.000, 0.000)  4.03
Mn (0.750, 0.750, 0.750)  4.13
Y (0.250, 0.250, 0.250)  -0.09

Results
Space group: F-43m
DOS(E_F) (states/eV/f.u.): 3.53

***

Arrangement x

This record from Alexandria via LeMat-Bulk describes a crystal of YMn2Au relaxed with PBEsol. The functional is meta-GGA SCAN.

a = 4.562 Å, b = 4.562 Å, c = 4.562 Å
α = 60.00°, β = 60.00°, γ = 60.00°
Last column: magnetic moment on the atom in μB.
Fractional positions:
Au (0.000, 0.000, 0.000)  0.11
Mn (0.250, 0.250, 0.250)  3.85
Mn (0.750, 0.750, 0.750)  3.85
Y (0.500, 0.500, 0.500)  0.02

Results
Space group: Fm-3m
DOS(E_F) (states/eV/f.u.): 5.49

***

Arrangement y

This record from Alexandria via LeMat-Bulk describes a crystal of YMn2Au relaxed with PBEsol. The functional is meta-GGA SCAN.

a = 2.999 Å, b = 5.114 Å, c = 5.388 Å
α = 116.69°, β = 103.59°, γ = 95.23°
Last column: magnetic moment on the atom in μB.
Fractional positions:
Au (0.000, 0.500, 0.000)  0.01
Mn (0.000, 0.000, 0.500)  3.78
Mn (0.500, 0.500, 0.500)  3.78
Y (0.500, 0.000, 0.000)  -0.39

Results
Space group: C2/m
DOS(E_F) (states/eV/f.u.): 3.17

***

Which of them is most stable? Easy: arrangement w.

***

Arrangement w

This record from Alexandria via LeMat-Bulk describes a crystal of Mo2Au relaxed with PBEsol. The functional is meta-GGA SCAN.

a = 2.664 Å, b = 2.664 Å, c = 6.901 Å
α = 101.13°, β = 101.13°, γ = 90.00°
Fractional positions:
Au (0.000, 0.000, 0.000)
Mo (0.334, 0.334, 0.667)
Mo (0.666, 0.666, 0.333)

Results
Space group: I4/mmm
DOS(E_F) (states/eV/f.u.): 2.19

***

Arrangement x

This record from Alexandria via LeMat-Bulk describes a crystal of Mo2Au relaxed with PBEsol. The functional is meta-GGA SCAN.

a = 2.618 Å, b = 4.565 Å, c = 4.565 Å
α = 120.00°, β = 90.00°, γ = 90.00°
Fractional positions:
Au (0.000, 0.000, 0.000)
Mo (0.635, 0.667, 0.333)
Mo (0.365, 0.333, 0.667)

Results
Space group: P-3m1
DOS(E_F) (states/eV/f.u.): 2.31

***

Which of them is most stable? Easy: arrangement w.

***

Arrangement w

This record from Alexandria via LeMat-Bulk describes a crystal of MoPb2Au relaxed with PBEsol. The functional is meta-GGA SCAN.

a = 4.984 Å, b = 4.984 Å, c = 4.984 Å
α = 60.00°, β = 60.00°, γ = 60.00°
Last column: magnetic moment on the atom in μB.
Fractional positions:
Au (0.500, 0.500, 0.500)  0.04
Mo (0.250, 0.250, 0.250)  2.92
Pb (0.000, 0.000, 0.000)  -0.07
Pb (0.750, 0.750, 0.750)  -0.08

Results
Space group: F-43m
DOS(E_F) (states/eV/f.u.): 2.55

***

Arrangement x

This record from Alexandria via LeMat-Bulk describes a crystal of MoPb2Au relaxed with PBEsol. The functional is meta-GGA SCAN.

a = 4.366 Å, b = 4.366 Å, c = 5.314 Å
α = 114.25°, β = 114.25°, γ = 90.00°
Last column: magnetic moment on the atom in μB.
Fractional positions:
Au (0.500, 0.500, 0.000)  -0.04
Mo (0.000, 0.000, 0.000)  1.05
Pb (0.750, 0.250, 0.500)  -0.04
Pb (0.250, 0.750, 0.500)  -0.04

Results
Space group: I4/mmm
DOS(E_F) (states/eV/f.u.): 1.32

***

Arrangement y

This record from Alexandria via LeMat-Bulk describes a crystal of MoPb2Au relaxed with PBEsol. The functional is meta-GGA SCAN.

a = 3.087 Å, b = 3.087 Å, c = 9.266 Å
α = 90.00°, β = 90.00°, γ = 104.96°
Fractional positions:
Au (0.500, 0.500, 0.500)
Mo (0.500, 0.500, 0.000)
Pb (0.000, 0.000, 0.239)
Pb (0.000, 0.000, 0.761)

Results
Space group: Cmmm
DOS(E_F) (states/eV/f.u.): 3.14

***

Which of them is most stable? Easy: arrangement x.